Compound: Tl2IrRu
Source: Alexandria via LeMat-Bulk
Functional: PBE
Structure: relaxed

Properties
- Calculated formation energy: 665.1 meV per atom
- Relative energy among the computed polymorphs: 243 meV/atom

Lattice parameters (Å, degrees): 8.8706 3.1565 5.4687 90.00 101.90 90.00
Space group C2/m (No. 12)
Unique sites:
Tl1 0.2491 0.0000 0.2481 (multiplicity 4)
Ir1 0.0000 0.0000 0.5000 (multiplicity 2)
Ru1 0.0000 0.5000 0.0000 (multiplicity 2)